Entry 1:
This record from the Alexandria database describes crystalline BaCdB2 at its relaxed geometry. The functional is PBEsol.

Output
D(E_F) in states/eV per atom: 0.29
Symmetry: I4_1/amd, No. 141
Calculated formation energy in eV/atom: 0.828

abc: 4.6015 4.6015 8.4272
angles: 105.84 105.84 90.00
Last column: nearest neighbours and their distance in Å.
Fractional positions:
Ba: 0.0000 0.0000 0.0000  8 B 3.22, 4 Cd 3.25
Ba: 0.2500 0.7500 0.5000  8 B 3.22, 4 Cd 3.25
B: 0.1250 0.3750 0.7500  2 Cd 2.26, 2 B 2.30
B: 0.6250 0.3750 0.7500  2 Cd 2.26, 2 B 2.30
B: 0.6250 0.3750 0.2500  2 Cd 2.26, 2 B 2.30
B: 0.6250 0.8750 0.2500  2 Cd 2.26, 2 B 2.30
Cd: 0.7500 0.2500 0.5000  4 B 2.26
Cd: 0.5000 0.5000 0.0000  4 B 2.26

Entry 2:
This record from the Alexandria database describes crystalline MgFe2Ru at its relaxed geometry. The functional is PBEsol.

Output
D(E_F) in states/eV per atom: 0.93
Symmetry: Cmmm, No. 65
Calculated formation energy in eV/atom: 0.275

abc: 2.6008 4.6271 4.6271
angles: 111.72 90.00 90.00
Last column: nearest neighbours and their distance in Å.
Fractional positions:
Fe: 0.0000 0.5000 0.0000  4 Fe 2.60, 4 Mg 2.65, 4 Ru 2.65
Fe: 0.0000 0.0000 0.5000  4 Fe 2.60, 4 Ru 2.65, 4 Mg 2.65
Ru: 0.5000 0.5000 0.5000  2 Mg 2.60, 2 Ru 2.60, 8 Fe 2.65
Mg: 0.5000 0.0000 0.0000  2 Ru 2.60, 2 Mg 2.60, 8 Fe 2.65

Entry 3:
This record from the Alexandria database describes crystalline MnAlTc2 at its relaxed geometry. The functional is PBEsol.

Output
D(E_F) in states/eV per atom: 1.05
Symmetry: P4/mmm, No. 123
Calculated formation energy in eV/atom: -0.055

abc: 2.8522 4.2938 4.2938
angles: 90.00 90.00 90.00
Last column: nearest neighbours and their distance in Å.
Fractional positions:
Al: 0.5000 0.5000 0.5000  8 Tc 2.58, 2 Al 2.85
Tc: 0.0000 0.5000 0.0000  4 Mn 2.58, 4 Al 2.58, 2 Tc 2.85
Tc: 0.0000 0.0000 0.5000  4 Mn 2.58, 4 Al 2.58, 2 Tc 2.85
Mn: 0.5000 0.0000 0.0000  8 Tc 2.58, 2 Mn 2.85

Entry 4:
This record from the Alexandria database describes crystalline Li8Ca at its relaxed geometry. The functional is PBEsol.

Output
D(E_F) in states/eV per atom: 0.59
Symmetry: I4/mmm, No. 139
Calculated formation energy in eV/atom: 0.026

abc: 4.5917 7.0410 7.0410
angles: 83.90 70.97 70.97
Last column: nearest neighbours and their distance in Å.
Fractional positions:
Li: 0.3199 0.0000 0.3603  8 Li 2.95-3.25
Li: 0.3456 0.6544 0.6544  11 Li 2.91-3.25, 1 Ca 3.25
Li: 0.6544 0.3456 0.3456  11 Li 2.91-3.25, 1 Ca 3.25
Li: 0.3199 0.3603 0.0000  8 Li 2.95-3.25
Li: 0.0000 0.3456 0.6544  11 Li 2.91-3.25, 1 Ca 3.25
Li: 0.6801 0.0000 0.6397  8 Li 2.95-3.25
Li: 0.0000 0.6544 0.3456  11 Li 2.91-3.25, 1 Ca 3.25
Li: 0.6801 0.6397 0.0000  8 Li 2.95-3.25
Ca: 0.0000 0.0000 0.0000  12 Li 3.25-3.32

Entry 5:
This record from the Alexandria database describes crystalline TaNiNF2 at its relaxed geometry. The functional is PBEsol.

Output
Raw formation energy in eV per atom: -0.8100
D(E_F) in states/eV per atom: 1.05
Symmetry: P4/mmm, No. 123

abc: 4.0015 4.0040 4.0040
angles: 90.00 90.00 90.00
Last column: nearest neighbours and their distance in Å.
Fractional positions:
F: 0.0000 0.0000 0.5000  2 Ta 2.00
F: 0.0000 0.5000 0.0000  2 Ta 2.00
N: 0.5000 0.0000 0.0000  2 Ta 2.00
Ni: 0.5000 0.5000 0.5000  8 F 2.83, 4 N 2.83
Ta: 0.0000 0.0000 0.0000  2 N 2.00, 4 F 2.00

Entry 6:
This record from the Alexandria database describes crystalline AlHg2SbCl4 at its relaxed geometry. The functional is PBEsol.

Output
Raw formation energy in eV per atom: -0.9133
Symmetry: Pna2_1, No. 33

abc: 8.7444 12.0531 17.5972
angles: 90.00 90.00 90.00
Last column: nearest neighbours and their distance in Å.
Fractional positions:
Sb: 0.8156 0.9732 0.8719  4 Hg 2.68-2.69
Sb: 0.6825 0.2181 0.1191  4 Hg 2.68-2.69
Sb: 0.3156 0.4732 0.6281  4 Hg 2.68-2.69
Sb: 0.6844 0.9732 0.3719  4 Hg 2.68-2.69
Sb: 0.1825 0.7181 0.3809  4 Hg 2.68-2.69
Sb: 0.8175 0.2181 0.6191  4 Hg 2.68-2.69
Sb: 0.1844 0.4732 0.1281  4 Hg 2.68-2.69
Sb: 0.3175 0.7181 0.8809  4 Hg 2.68-2.69
Al: 0.6629 0.4926 0.3812  4 Cl 2.13-2.16
Al: 0.6566 0.7090 0.1341  4 Cl 2.14-2.16
Al: 0.8371 0.4926 0.8812  4 Cl 2.13-2.16
Al: 0.1629 0.9926 0.1188  4 Cl 2.13-2.16
Al: 0.1566 0.2090 0.3659  4 Cl 2.14-2.16
Al: 0.3371 0.9926 0.6188  4 Cl 2.13-2.16
Al: 0.3434 0.2090 0.8659  4 Cl 2.14-2.16
Al: 0.8434 0.7090 0.6341  4 Cl 2.14-2.16
Hg: 0.7904 0.0943 0.7449  2 Sb 2.68
Hg: 0.9171 0.8287 0.3725  2 Sb 2.68
Hg: 0.2904 0.5943 0.7551  2 Sb 2.68
Hg: 0.5829 0.8287 0.8725  2 Sb 2.68
Hg: 0.2096 0.5943 0.2551  2 Sb 2.68
Hg: 0.7601 0.0959 0.4942  2 Sb 2.69
Hg: 0.4193 0.8603 0.3804  2 Sb 2.69
Hg: 0.0807 0.8603 0.8804  2 Sb 2.69
Hg: 0.2399 0.5959 0.5058  2 Sb 2.69
Hg: 0.5807 0.3603 0.6196  2 Sb 2.69
Hg: 0.4171 0.3287 0.1275  2 Sb 2.68
Hg: 0.9193 0.3603 0.1196  2 Sb 2.69
Hg: 0.0829 0.3287 0.6275  2 Sb 2.68
Hg: 0.7399 0.0959 0.9942  2 Sb 2.69
Hg: 0.2601 0.5959 0.0058  2 Sb 2.69
Hg: 0.7096 0.0943 0.2449  2 Sb 2.68
Cl: 0.1253 0.8429 0.0544  1 Al 2.16
Cl: 0.1408 0.1959 0.7985  1 Al 2.14
Cl: 0.5353 0.2533 0.7946  1 Al 2.16
Cl: 0.0730 0.1325 0.0561  1 Al 2.16
Cl: 0.6408 0.6959 0.7015  1 Al 2.14
Cl: 0.4581 0.9763 0.7246  1 Al 2.15
Cl: 0.9647 0.2533 0.2946  1 Al 2.16
Cl: 0.0353 0.7533 0.7054  1 Al 2.16
Cl: 0.8747 0.3429 0.9456  1 Al 2.16
Cl: 0.6253 0.3429 0.4456  1 Al 2.16
Cl: 0.4647 0.7533 0.2054  1 Al 2.16
Cl: 0.6093 0.5553 0.0756  1 Al 2.16
Cl: 0.5993 0.5218 0.8639  1 Al 2.13
Cl: 0.6813 0.8380 0.0501  1 Al 2.16
Cl: 0.3747 0.8429 0.5544  1 Al 2.16
Cl: 0.8907 0.5553 0.5756  1 Al 2.16
Cl: 0.5730 0.6325 0.4439  1 Al 2.16
Cl: 0.9007 0.5218 0.3639  1 Al 2.13
Cl: 0.8187 0.8380 0.5501  1 Al 2.16
Cl: 0.3592 0.1959 0.2985  1 Al 2.14
Cl: 0.8592 0.6959 0.2015  1 Al 2.14
Cl: 0.3187 0.3380 0.9499  1 Al 2.16
Cl: 0.1093 0.0553 0.4244  1 Al 2.16
Cl: 0.1813 0.3380 0.4499  1 Al 2.16
Cl: 0.4007 0.0218 0.1361  1 Al 2.13
Cl: 0.0993 0.0218 0.6361  1 Al 2.13
Cl: 0.4270 0.1325 0.5561  1 Al 2.16
Cl: 0.9581 0.4763 0.7754  1 Al 2.15
Cl: 0.0419 0.9763 0.2246  1 Al 2.15
Cl: 0.3907 0.0553 0.9244  1 Al 2.16
Cl: 0.9270 0.6325 0.9439  1 Al 2.16
Cl: 0.5419 0.4763 0.2754  1 Al 2.15

Entry 7:
This record from the Alexandria database describes crystalline Si2H6O at its relaxed geometry. The functional is PBEsol.

Output
D(E_F) in states/eV per atom: 0.00
Symmetry: P2_12_12_1, No. 19

abc: 4.5585 7.3879 12.2416
angles: 90.00 90.00 90.00
Last column: nearest neighbours and their distance in Å.
Fractional positions:
H: 0.4690 0.6631 0.5080  1 Si 1.50
H: 0.2882 0.0988 0.1858  1 Si 1.50
H: 0.2118 0.9012 0.6858  1 Si 1.50
H: 0.7882 0.4012 0.8142  1 Si 1.50
H: 0.0378 0.4818 0.4607  1 Si 1.50
H: 0.9690 0.8369 0.4920  1 Si 1.50
H: 0.5863 0.7854 0.1520  1 Si 1.50
H: 0.4137 0.2854 0.3480  1 Si 1.50
H: 0.4494 0.3424 0.5590  1 Si 1.50
H: 0.9622 0.9818 0.0393  1 Si 1.50
H: 0.5310 0.1631 0.9920  1 Si 1.50
H: 0.0310 0.3369 0.0080  1 Si 1.50
H: 0.5506 0.8424 0.9410  1 Si 1.50
H: 0.7118 0.5988 0.3142  1 Si 1.50
H: 0.7072 0.7802 0.7096  1 Si 1.49
H: 0.7928 0.2198 0.2096  1 Si 1.49
H: 0.9494 0.1576 0.4410  1 Si 1.50
H: 0.5378 0.0182 0.5393  1 Si 1.50
H: 0.0863 0.7146 0.8480  1 Si 1.50
H: 0.9137 0.2146 0.6520  1 Si 1.50
H: 0.4622 0.5182 0.9607  1 Si 1.50
H: 0.0506 0.6576 0.0590  1 Si 1.50
H: 0.2072 0.7198 0.2904  1 Si 1.49
H: 0.2928 0.2802 0.7904  1 Si 1.49
O: 0.6250 0.9376 0.3364  2 Si 1.65-1.67
O: 0.8750 0.0624 0.8364  2 Si 1.65-1.67
O: 0.1250 0.5624 0.6636  2 Si 1.65-1.67
O: 0.3750 0.4376 0.1636  2 Si 1.65-1.67
Si: 0.2727 0.5111 0.5442  3 H 1.50, 1 O 1.65
Si: 0.7273 0.0111 0.9558  3 H 1.50, 1 O 1.65
Si: 0.7727 0.9889 0.4558  3 H 1.50, 1 O 1.65
Si: 0.2273 0.4889 0.0442  3 H 1.50, 1 O 1.65
Si: 0.5270 0.7494 0.2703  3 H 1.49-1.50, 1 O 1.67
Si: 0.9730 0.2506 0.7703  3 H 1.49-1.50, 1 O 1.67
Si: 0.4730 0.2494 0.2297  3 H 1.49-1.50, 1 O 1.67
Si: 0.0270 0.7506 0.7297  3 H 1.49-1.50, 1 O 1.67

Entry 8:
This record from the Alexandria database describes crystalline La2TlTe at its relaxed geometry. The functional is PBEsol.

Output
Raw formation energy in eV per atom: -0.7947
D(E_F) in states/eV per atom: 0.82
Symmetry: I-4m2, No. 119

abc: 4.6051 4.6051 6.4422
angles: 110.94 110.94 90.00
Last column: nearest neighbours and their distance in Å.
Fractional positions:
Tl: 0.2500 0.7500 0.5000  8 La 3.26-3.61, 4 Te 3.61
Te: 0.5000 0.5000 0.0000  8 La 3.26-3.61, 4 Tl 3.61
La: 0.0000 0.0000 0.0000  4 Te 3.26, 4 Tl 3.61, 4 La 3.61
La: 0.7500 0.2500 0.5000  4 Tl 3.26, 4 La 3.61, 4 Te 3.61

Entry 9:
This record from the Alexandria database describes crystalline Cd2SbAs at its relaxed geometry. The functional is PBEsol.

Output
Raw formation energy in eV per atom: 0.2136
D(E_F) in states/eV per atom: 0.44
Symmetry: Cmmm, No. 65

abc: 3.2230 5.4678 5.4678
angles: 111.49 90.00 90.00
Last column: nearest neighbours and their distance in Å.
Fractional positions:
Sb: 0.5000 0.0000 0.0000  2 As 3.08, 8 Cd 3.17, 2 Sb 3.22
Cd: 0.0000 0.0000 0.5000  4 Cd 3.08-3.22, 4 Sb 3.17, 4 As 3.17
Cd: 0.0000 0.5000 0.0000  4 Cd 3.08-3.22, 4 As 3.17, 4 Sb 3.17
As: 0.5000 0.5000 0.5000  2 Sb 3.08, 8 Cd 3.17, 2 As 3.22

Entry 10:
This record from the Alexandria database describes crystalline CaCd2Cu at its relaxed geometry. The functional is PBEsol.

Output
D(E_F) in states/eV per atom: 0.48
Symmetry: F-43m, No. 216
Calculated formation energy in eV/atom: -0.114

abc: 4.8521 4.8521 4.8521
angles: 60.00 60.00 60.00
Last column: nearest neighbours and their distance in Å.
Fractional positions:
Ca: 0.5000 0.5000 0.5000  4 Cu 2.97, 4 Cd 2.97
Cd: 0.2500 0.2500 0.2500  4 Ca 2.97, 4 Cd 2.97
Cd: 0.0000 0.0000 0.0000  4 Cd 2.97, 4 Cu 2.97
Cu: 0.7500 0.7500 0.7500  4 Cd 2.97, 4 Ca 2.97

Entry 11:
This record from the Alexandria database describes crystalline AlBN2F at its relaxed geometry. The functional is PBEsol.

Output
Raw formation energy in eV per atom: 0.6702
D(E_F) in states/eV per atom: 0.48
Symmetry: P4/mmm, No. 123

abc: 3.4446 3.7876 3.7876
angles: 90.00 90.00 90.00
Last column: nearest neighbours and their distance in Å.
Fractional positions:
F: 0.5000 0.0000 0.0000  2 Al 1.72
N: 0.0000 0.0000 0.5000  2 Al 1.89
N: 0.0000 0.5000 0.0000  2 Al 1.89
Al: 0.0000 0.0000 0.0000  2 F 1.72, 4 N 1.89
B: 0.5000 0.5000 0.5000  8 N 2.56, 4 F 2.68

Entry 12:
This record from the Alexandria database describes crystalline RbCaPS2 at its relaxed geometry. The functional is PBEsol.

Output
Raw formation energy in eV per atom: -0.1586
D(E_F) in states/eV per atom: 1.27
Symmetry: P4/mmm, No. 123

abc: 5.2794 5.2794 5.3118
angles: 90.00 90.00 90.00
Last column: nearest neighbours and their distance in Å.
Fractional positions:
Rb: 0.5000 0.5000 0.5000  4 P 3.73, 8 S 3.74
Ca: 0.0000 0.0000 0.0000  4 S 2.64, 2 P 2.66
S: 0.0000 0.5000 0.0000  2 Ca 2.64
S: 0.5000 0.0000 0.0000  2 Ca 2.64
P: 0.0000 0.0000 0.5000  2 Ca 2.66

no.,total DFT energy (no corrections) (eV for the cell shown)
1,-28.13
2,-28.72
3,-36.60
4,-17.63
5,-35.14
6,-200.96
7,-159.79
8,-20.03
9,-11.20
10,-9.32
11,-26.74
12,-18.51